Material: Mn2AlS
Method: DFT, PBE
State: optimized geometry

Lattice parameters (Å, degrees): 5.322 5.322 5.322 103.26 103.26 122.77
Element x y z (fractional)
Mn1 0.048 0.625 0.923
Mn2 0.375 0.298 0.423
Mn3 0.702 0.125 0.077
Mn4 0.875 0.952 0.577
Al1 0.250 0.750 0.500
Al2 0.500 0.500 0.000
S1 0.000 0.000 0.000
S2 0.750 0.250 0.500

Values from the calculation:
The value obtained for the energy above the most stable polymorph in this dataset is 0.00 eV per formula unit. The energy is -6.432 eV per atom. As for the total magnetization: 6.0 μB per cell. The calculation puts the formation energy (no corrections) at 120 meV/atom.

=====

Material: Sr2CoH4
Method: DFT, PBE
State: optimized geometry

Lattice parameters (Å, degrees): 8.050 8.050 8.050 153.98 153.98 37.12
Element x y z (fractional)
Sr1 0.123 0.123 0.000
Sr2 0.877 0.877 0.000
Co1 0.500 0.500 0.000
H1 0.000 0.500 0.500
H2 0.394 0.394 0.000
H3 0.500 0.000 0.500
H4 0.606 0.606 0.000

Values from the calculation:
The energy is -3.782 eV per atom. As for the total magnetization: 0.5 μB per cell.

=====

Material: Tc3P
Method: DFT, PBE
State: optimized geometry

Lattice parameters (Å, degrees): 5.682 7.596 5.181 90.00 90.00 90.00
Element x y z (fractional)
Tc1 0.008 0.250 0.134
Tc2 0.193 0.056 0.655
Tc3 0.193 0.444 0.655
Tc4 0.307 0.556 0.155
Tc5 0.307 0.944 0.155
Tc6 0.492 0.750 0.634
Tc7 0.508 0.250 0.366
Tc8 0.693 0.056 0.845
Tc9 0.693 0.444 0.845
Tc10 0.807 0.556 0.345
Tc11 0.807 0.944 0.345
Tc12 0.992 0.750 0.866
P1 0.120 0.750 0.442
P2 0.380 0.250 0.942
P3 0.620 0.750 0.058
P4 0.880 0.250 0.558

Values from the calculation:
The value obtained for the energy above the most stable polymorph in this dataset is 0.27 eV per formula unit. The energy is -9.399 eV per atom. As for the total magnetization: 0.0 μB per cell.

=====

Material: ZnSn2AsAu
Method: DFT, PBE
State: optimized geometry

Lattice parameters (Å, degrees): 5.356 5.356 4.788 90.00 90.00 90.00
Element x y z (fractional)
Zn1 0.000 0.000 0.000
Sn1 0.000 0.500 0.500
Sn2 0.500 0.000 0.500
As1 0.500 0.500 0.000
Au1 0.000 0.000 0.500

Values from the calculation:
The energy is -3.097 eV per atom. As for the total magnetization: 0.0 μB per cell.